# La7Ho12In, optimized geometry, DFT PBE
# SG: No. 148
# Energy of formation from the pure elements in eV per atom: 0.154
# Crystal system: trigonal
data_La7Ho12In
_space_group_name_H-M_alt 'P 1'
_space_group_IT_number 1
_cell_length_a 8.770
_cell_length_b 8.770
_cell_length_c 8.770
_cell_angle_alpha 88.58
_cell_angle_beta 88.58
_cell_angle_gamma 88.58
loop_
_space_group_symop_operation_xyz
'x,y,z'
loop_
_atom_site_label
_atom_site_type_symbol
_atom_site_fract_x
_atom_site_fract_y
_atom_site_fract_z
_atom_site_occupancy
La1 La 0.633 0.779 0.213 1
La2 La 0.221 0.787 0.367 1
La3 La 0.779 0.213 0.633 1
La4 La 0.367 0.221 0.787 1
La5 La 0.500 0.500 0.500 1
La6 La 0.213 0.633 0.779 1
La7 La 0.787 0.367 0.221 1
Ho1 Ho 0.337 0.886 0.008 1
Ho2 Ho 0.457 0.121 0.343 1
Ho3 Ho 0.992 0.663 0.114 1
Ho4 Ho 0.886 0.008 0.337 1
Ho5 Ho 0.879 0.657 0.543 1
Ho6 Ho 0.657 0.543 0.879 1
Ho7 Ho 0.114 0.992 0.663 1
Ho8 Ho 0.008 0.337 0.886 1
Ho9 Ho 0.663 0.114 0.992 1
Ho10 Ho 0.121 0.343 0.457 1
Ho11 Ho 0.343 0.457 0.121 1
Ho12 Ho 0.543 0.879 0.657 1
In1 In 0.000 0.000 0.000 1